Below is a relaxed CaMo2Os2 crystal, with properties calculated at the PBE-GGA level.

Cell: 4.4302 4.4302 10.1085 Å, 90.00 90.00 90.00°
Last column: nearest neighbours and their distance in Å.
Sites, in units of the cell vectors:
Ca 0.0000 0.0000 0.0000  8 Os 3.36, 10 Mo 3.39-3.76
Ca 0.5000 0.5000 0.5000  8 Os 3.36, 10 Mo 3.39-3.76
Mo 0.0000 0.0000 0.3721  4 Os 2.54, 1 Mo 2.59
Mo 0.0000 0.0000 0.6279  4 Os 2.54, 1 Mo 2.59
Mo 0.5000 0.5000 0.1279  4 Os 2.54, 1 Mo 2.59
Mo 0.5000 0.5000 0.8721  4 Os 2.54, 1 Mo 2.59
Os 0.0000 0.5000 0.2500  4 Mo 2.54
Os 0.0000 0.5000 0.7500  4 Mo 2.54
Os 0.5000 0.0000 0.2500  4 Mo 2.54
Os 0.5000 0.0000 0.7500  4 Mo 2.54

Summary:
Crystal system = tetragonal
Energy of formation from the pure elements = 368 meV/atom


Below is a relaxed MnPbBr2 crystal, with properties calculated at the PBE-GGA level.

Cell: 3.6757 3.8130 8.5156 Å, 90.00 92.02 90.00°
Last column: nearest neighbours and their distance in Å.
Sites, in units of the cell vectors:
Mn 0.0000 0.0000 0.0000  4 Br 2.46-2.54
Pb 0.2061 0.5000 0.4981  3 Br 3.06-3.32
Br 0.4685 0.0000 0.8010  2 Mn 2.46-2.54
Br 0.8236 0.5000 0.1731  2 Mn 2.51

Summary:
Crystal system = monoclinic
Energy relative to the elements, uncorrected = -87 kJ/mol of formula units


Total magnetization for every record listed, in sequence, given in μB/f.u.: 0.0, 4.6.
Distance to the lowest polymorph of the same formula for every record listed, in sequence, given in kJ/mol of formula units: 73, 66.